The following is a PBE-GGA calculation of a relaxed Y2Re crystal, from Alexandria.

Cell and atoms, written as extended XYZ:
```
6
Lattice="0.0000 4.1081 4.1081 4.1081 0.0000 4.1081 4.1081 4.1081 0.0000" Properties=species:S:1:pos:R:3 pbc="T T T"
Re 6.1622 6.1622 6.1622
Y 1.0270 3.0811 3.0811
Y 3.0811 1.0270 3.0811
Y 1.0270 1.0270 1.0270
Y 3.0811 3.0811 1.0270
Re 4.1081 4.1081 4.1081
```

Computed properties:
total magnetization	0.00	Bohr magnetons per cell
DOS at the Fermi energy	4.59	states/eV/f.u.
E_form	125.3	kJ/mol of atoms
theoretical density	8.72	g/cm³
total energy	-42.959	eV per cell

The following is a PBE-GGA calculation of a relaxed Y2Re crystal, from Alexandria.

Cell and atoms, written as extended XYZ:
```
9
Lattice="0.8231 7.6236 2.1067 -7.1396 -2.7928 -2.1125 -0.7395 -0.9624 3.7715" Properties=species:S:1:pos:R:3 pbc="T T T"
Y 0.2173 2.0126 0.5562
Re -0.3697 -0.4812 1.8857
Y 0.1240 4.0915 3.1494
Y -4.6490 3.5555 -0.0042
Re -4.4854 0.6794 -0.7061
Re -1.8311 4.1515 0.7003
Y -2.8975 1.4521 1.8834
Y -1.8848 -0.7373 -0.5577
Y -4.6521 -2.1563 0.6187
```

Computed properties:
total magnetization	0.00	Bohr magnetons per cell
DOS at the Fermi energy	2.65	states/eV/f.u.
E_form	18.5	kJ/mol of atoms
theoretical density	8.36	g/cm³
total energy	-74.406	eV per cell

The following is a PBE-GGA calculation of a relaxed Y2Re crystal, from Alexandria.

Cell and atoms, written as extended XYZ:
```
6
Lattice="13.6547 -3.0439 0.1997 13.5010 0.3131 3.6580 -13.9841 -0.3489 -0.2828" Properties=species:S:1:pos:R:3 pbc="T T T"
Y 8.2012 -0.8669 2.8870
Y 15.2317 -1.5317 2.1638
Y 11.9240 -1.1991 1.6939
Re 6.6242 -2.3791 0.9229
Y 4.8936 -0.5343 2.4171
Re 0.0000 0.0000 0.0000
```

Computed properties:
total magnetization	0.00	Bohr magnetons per cell
DOS at the Fermi energy	4.13	states/eV/f.u.
E_form	18.7	kJ/mol of atoms
theoretical density	7.54	g/cm³
total energy	-49.591	eV per cell

The following is a PBE-GGA calculation of a relaxed Y3Re crystal, from Alexandria.

Cell and atoms, written as extended XYZ:
```
4
Lattice="3.5198 0.0000 0.0000 -1.7599 3.0482 0.0000 0.0000 0.0000 10.1952" Properties=species:S:1:pos:R:3 pbc="T T T"
Y 0.0000 0.0000 5.0976
Y 0.0000 2.0322 8.1458
Re 0.0000 0.0000 0.0000
Y 0.0000 2.0322 2.0495
```

Computed properties:
total magnetization	0.52	Bohr magnetons per cell
DOS at the Fermi energy	4.32	states/eV/f.u.
E_form	35.7	kJ/mol of atoms
theoretical density	6.88	g/cm³
total energy	-30.362	eV per cell

The following is a PBE-GGA calculation of a relaxed Y3Re2 crystal, from Alexandria.

Cell and atoms, written as extended XYZ:
```
5
Lattice="2.4503 -4.2441 0.0000 2.4503 4.2441 0.0000 0.0000 0.0000 5.8551" Properties=species:S:1:pos:R:3 pbc="T T T"
Y 2.4503 1.4147 2.1303
Re 2.4503 1.4147 5.2666
Y 0.0000 0.0000 0.0000
Y 2.4503 -1.4147 3.7249
Re 2.4503 -1.4147 0.5885
```

Computed properties:
total magnetization	0.00	Bohr magnetons per cell
DOS at the Fermi energy	6.44	states/eV/f.u.
E_form	38.5	kJ/mol of atoms
theoretical density	8.71	g/cm³
energy relative to the lowest polymorph listed for this composition	0.229	eV per atom
total energy	-42.294	eV per cell

The following is a PBE-GGA calculation of a relaxed Y3Re2 crystal, from Alexandria.

Cell and atoms, written as extended XYZ:
```
10
Lattice="0.0000 5.8910 11.9781 1.7494 0.0000 11.9781 1.7494 5.8910 0.0000" Properties=species:S:1:pos:R:3 pbc="T T T"
Y 0.8936 2.9455 5.9890
Y 0.0189 5.8910 11.9781
Re 2.5957 6.3499 18.6761
Re 1.7210 3.4043 11.2691
Re 2.5957 11.3233 17.2581
Re 1.7210 8.3778 12.6871
Y 1.7683 4.2057 14.5169
Y 2.6430 7.1512 15.4283
Y 1.7683 7.5764 9.4392
Y 2.6430 10.5219 20.5060
```

Computed properties:
total magnetization	0.00	Bohr magnetons per cell
DOS at the Fermi energy	5.50	states/eV/f.u.
E_form	16.4	kJ/mol of atoms
theoretical density	8.60	g/cm³
energy relative to the lowest polymorph listed for this composition	0.000	eV per atom
total energy	-86.879	eV per cell

The following is a PBE-GGA calculation of a relaxed Y4Re5 crystal, from Alexandria.

Cell and atoms, written as extended XYZ:
```
9
Lattice="-5.1655 5.1655 1.6572 5.1655 -5.1655 1.6572 5.1655 5.1655 -1.6572" Properties=species:S:1:pos:R:3 pbc="T T T"
Re 1.7508 -1.7508 1.6572
Re 3.4146 3.4146 0.0000
Y 7.1509 0.0000 0.0000
Y 0.0000 7.1509 0.0000
Y 3.1801 0.0000 0.0000
Re 0.0000 0.0000 0.0000
Re -1.7508 1.7508 1.6572
Y 0.0000 3.1801 0.0000
Re 1.7508 1.7508 1.6572
```

Computed properties:
total magnetization	0.00	Bohr magnetons per cell
DOS at the Fermi energy	8.68	states/eV/f.u.
E_form	46.4	kJ/mol of atoms
theoretical density	12.08	g/cm³
energy relative to the lowest polymorph listed for this composition	0.000	eV per atom
total energy	-83.764	eV per cell

The following is a PBE-GGA calculation of a relaxed Y2Re crystal, from Alexandria.

Cell and atoms, written as extended XYZ:
```
6
Lattice="-3.6795 3.6795 2.7548 3.6795 -3.6795 2.7548 3.6795 3.6795 -2.7548" Properties=species:S:1:pos:R:3 pbc="T T T"
Re 0.0000 0.0000 4.1322
Y 1.2349 2.4446 2.7548
Y 1.2349 4.9143 0.0000
Y 2.4446 1.2349 0.0000
Y 2.4446 -1.2349 2.7548
Re 0.0000 0.0000 1.3774
```

Computed properties:
total magnetization	0.00	Bohr magnetons per cell
DOS at the Fermi energy	3.21	states/eV/f.u.
E_form	7.6	kJ/mol of atoms
theoretical density	8.10	g/cm³
total energy	-50.280	eV per cell

The following is a PBE-GGA calculation of a relaxed Y4Re5 crystal, from Alexandria.

Cell and atoms, written as extended XYZ:
```
18
Lattice="-2.4737 -3.0504 7.6465 1.0127 -8.3370 1.8336 5.0827 1.0732 2.0724" Properties=species:S:1:pos:R:3 pbc="T T T"
Re -0.4007 -1.7927 5.6844
Y 4.1774 -2.2029 2.2158
Re -0.4870 -3.7958 3.1600
Re 1.5673 -7.0550 7.3562
Y 0.0000 0.0000 0.0000
Re -0.9740 -7.5916 6.3200
Y 2.5413 0.5366 1.0362
Re 2.4691 -3.9603 7.3153
Re 3.0097 -0.1845 4.0345
Y 3.5669 -5.6248 5.4850
Re 2.0543 -3.2592 4.1962
Y 1.9180 -5.0609 1.6902
Re 1.1525 -6.3540 4.2371
Y 0.0547 -4.6894 6.0674
Re 4.4962 -4.8280 2.7932
Re 1.5991 -2.4359 1.1128
Y 0.3782 -0.8322 3.2767
Y 2.2308 -1.1450 6.4421
```

Computed properties:
total magnetization	0.00	Bohr magnetons per cell
DOS at the Fermi energy	11.03	states/eV/f.u.
E_form	73.6	kJ/mol of atoms
theoretical density	11.94	g/cm³
energy relative to the lowest polymorph listed for this composition	0.281	eV per atom
total energy	-162.462	eV per cell

The following is a PBE-GGA calculation of a relaxed YRe4 crystal, from Alexandria.

Cell and atoms, written as extended XYZ:
```
5
Lattice="3.9533 2.9103 0.4078 -2.7810 -1.1330 3.9048 1.8728 -4.3341 -1.4047" Properties=species:S:1:pos:R:3 pbc="T T T"
Re 2.3223 0.6067 1.8006
Re 0.4648 -0.7548 2.8666
Re 2.5803 -1.8019 0.0412
Re 0.7228 -3.1634 1.1073
Y 0.0000 0.0000 0.0000
```

Computed properties:
total magnetization	0.00	Bohr magnetons per cell
DOS at the Fermi energy	5.61	states/eV/f.u.
E_form	37.0	kJ/mol of atoms
theoretical density	15.57	g/cm³
energy relative to the lowest polymorph listed for this composition	0.345	eV per atom
total energy	-54.339	eV per cell

The following is a PBE-GGA calculation of a relaxed Y5Re24 crystal, from Alexandria.

Cell and atoms, written as extended XYZ:
```
29
Lattice="8.5686 0.0000 0.0000 -2.8562 8.0786 0.0000 -2.8562 -4.0393 6.9963" Properties=species:S:1:pos:R:3 pbc="T T T"
Re 2.7044 -0.7797 1.3505
Re 4.0759 5.7641 1.3078
Re -1.6366 0.0246 2.6583
Re 4.3243 1.3210 2.2880
Re -3.0080 3.2596 5.6458
Re 0.5687 -1.5348 2.6583
Re 1.2197 4.0639 4.3380
Re 1.4681 5.4367 0.0000
Y 5.4090 0.0000 0.0000
Re 4.0759 -1.7494 5.6458
Re -0.1960 4.5173 2.2880
Re 2.6602 -0.2008 4.2281
Re -1.6366 2.2898 1.3505
Re 2.6602 3.7621 1.9402
Re -3.0522 3.8385 2.7681
Y 0.0000 0.0000 0.0000
Re 1.4681 -2.7183 4.7083
Re 4.6364 3.1963 0.0000
Re -0.1960 -0.2772 5.0561
Re 3.4249 2.5045 4.3380
Y -1.8030 -2.5498 4.4164
Re 2.7044 1.5594 0.0000
Re 0.5687 3.0695 0.0000
Re 4.6364 -1.5982 2.7681
Re -3.0522 0.4780 4.7083
Re 1.2197 1.7249 5.6884
Y 1.0532 1.4895 2.5798
Re -1.0760 2.4411 4.2281
Y -1.8030 5.0996 0.0000
```

Computed properties:
total magnetization	0.00	Bohr magnetons per cell
DOS at the Fermi energy	23.79	states/eV/f.u.
E_form	-4.7	kJ/mol of atoms
theoretical density	16.85	g/cm³
total energy	-332.482	eV per cell

The following is a PBE-GGA calculation of a relaxed Y3Re crystal, from Alexandria.

Cell and atoms, written as extended XYZ:
```
4
Lattice="-0.6252 0.5458 -3.0946 -3.8839 -4.4673 -1.1089 -5.5297 0.5548 2.3207" Properties=species:S:1:pos:R:3 pbc="T T T"
Y -3.0774 0.5503 -0.3870
Y -4.7068 -1.9562 0.6059
Y -2.2545 -1.9608 -2.1018
Re 0.0000 0.0000 0.0000
```

Computed properties:
total magnetization	0.00	Bohr magnetons per cell
DOS at the Fermi energy	3.60	states/eV/f.u.
E_form	45.9	kJ/mol of atoms
theoretical density	7.72	g/cm³
total energy	-29.937	eV per cell